Entry w
# La2Pr4Nd (PBE, relaxed)
# Crystal system: trigonal
# DOS at the Fermi energy (states/eV/f.u.): 10.89
data_La2Pr4Nd
_space_group_name_H-M_alt 'P 1'
_space_group_IT_number 1
_cell_length_a 11.918
_cell_length_b 11.918
_cell_length_c 11.918
_cell_angle_alpha 25.40
_cell_angle_beta 25.40
_cell_angle_gamma 25.40
loop_
_space_group_symop_operation_xyz
'x,y,z'
loop_
_atom_site_label
_atom_site_type_symbol
_atom_site_fract_x
_atom_site_fract_y
_atom_site_fract_z
La1 La 0.096 0.096 0.096
La2 La 0.904 0.904 0.904
Pr1 Pr 0.198 0.198 0.198
Pr2 Pr 0.378 0.378 0.378
Pr3 Pr 0.622 0.622 0.622
Pr4 Pr 0.802 0.802 0.802
Nd1 Nd 0.000 0.000 0.000

---

Entry x
# La2Pr4Nd (PBE, relaxed)
# Crystal system: triclinic
# DOS at the Fermi energy (states/eV/f.u.): 10.98
data_La2Pr4Nd
_space_group_name_H-M_alt 'P 1'
_space_group_IT_number 1
_cell_length_a 7.152
_cell_length_b 7.160
_cell_length_c 10.772
_cell_angle_alpha 89.99
_cell_angle_beta 90.00
_cell_angle_gamma 73.13
loop_
_space_group_symop_operation_xyz
'x,y,z'
loop_
_atom_site_label
_atom_site_type_symbol
_atom_site_fract_x
_atom_site_fract_y
_atom_site_fract_z
La1 La 0.000 0.000 0.000
La2 La 0.000 0.000 0.500
La3 La 0.000 0.500 0.000
La4 La 0.500 0.000 0.000
Pr1 Pr 0.269 0.688 0.782
Pr2 Pr 0.271 0.189 0.714
Pr3 Pr 0.271 0.687 0.217
Pr4 Pr 0.274 0.188 0.287
Pr5 Pr 0.726 0.812 0.713
Pr6 Pr 0.729 0.313 0.783
Pr7 Pr 0.729 0.811 0.286
Pr8 Pr 0.731 0.312 0.218
Nd1 Nd 0.000 0.500 0.500
Nd2 Nd 0.500 0.500 0.500

---

Winner for stability: entry x

---

Entry w
# La5PrNd (PBE, relaxed)
# Crystal system: monoclinic
# DOS at the Fermi energy (states/eV/f.u.): 11.79
data_La5PrNd
_space_group_name_H-M_alt 'P 1'
_space_group_IT_number 1
_cell_length_a 7.091
_cell_length_b 7.091
_cell_length_c 11.888
_cell_angle_alpha 90.04
_cell_angle_beta 90.04
_cell_angle_gamma 59.39
loop_
_space_group_symop_operation_xyz
'x,y,z'
loop_
_atom_site_label
_atom_site_type_symbol
_atom_site_fract_x
_atom_site_fract_y
_atom_site_fract_z
La1 La 0.139 0.302 0.750
La2 La 0.249 0.751 0.750
La3 La 0.302 0.139 0.250
La4 La 0.349 0.349 0.000
La5 La 0.349 0.349 0.500
La6 La 0.651 0.651 0.000
La7 La 0.651 0.651 0.500
La8 La 0.698 0.861 0.750
La9 La 0.751 0.249 0.250
La10 La 0.861 0.698 0.250
Pr1 Pr 0.000 0.000 0.000
Pr2 Pr 0.000 0.000 0.500
Nd1 Nd 0.312 0.688 0.250
Nd2 Nd 0.688 0.312 0.750

---

Entry x
# La5PrNd (PBE, relaxed)
# Crystal system: monoclinic
# DOS at the Fermi energy (states/eV/f.u.): 10.44
data_La5PrNd
_space_group_name_H-M_alt 'P 1'
_space_group_IT_number 1
_cell_length_a 7.058
_cell_length_b 7.058
_cell_length_c 12.799
_cell_angle_alpha 108.98
_cell_angle_beta 108.98
_cell_angle_gamma 60.13
loop_
_space_group_symop_operation_xyz
'x,y,z'
loop_
_atom_site_label
_atom_site_type_symbol
_atom_site_fract_x
_atom_site_fract_y
_atom_site_fract_z
La1 La 0.089 0.911 0.750
La2 La 0.094 0.350 0.756
La3 La 0.154 0.694 0.000
La4 La 0.306 0.846 0.500
La5 La 0.350 0.094 0.256
La6 La 0.650 0.906 0.744
La7 La 0.694 0.154 0.500
La8 La 0.846 0.306 0.000
La9 La 0.906 0.650 0.244
La10 La 0.911 0.089 0.250
Pr1 Pr 0.000 0.500 0.500
Pr2 Pr 0.500 0.000 0.000
Nd1 Nd 0.468 0.532 0.250
Nd2 Nd 0.532 0.468 0.750

---

Winner for stability: entry x

---

Entry w
# La5Pr2Nd2 (PBE, relaxed)
# Crystal system: monoclinic
# DOS at the Fermi energy (states/eV/f.u.): 17.20
data_La5Pr2Nd2
_space_group_name_H-M_alt 'P 1'
_space_group_IT_number 1
_cell_length_a 3.723
_cell_length_b 3.723
_cell_length_c 23.699
_cell_angle_alpha 94.41
_cell_angle_beta 94.41
_cell_angle_gamma 91.15
loop_
_space_group_symop_operation_xyz
'x,y,z'
loop_
_atom_site_label
_atom_site_type_symbol
_atom_site_fract_x
_atom_site_fract_y
_atom_site_fract_z
La1 La 0.000 0.000 0.000
La2 La 0.222 0.222 0.444
La3 La 0.444 0.444 0.889
La4 La 0.556 0.556 0.111
La5 La 0.778 0.778 0.556
Pr1 Pr 0.334 0.334 0.668
Pr2 Pr 0.666 0.666 0.332
Nd1 Nd 0.112 0.112 0.222
Nd2 Nd 0.888 0.888 0.778

---

Entry x
# La5Pr2Nd2 (PBE, relaxed)
# Crystal system: orthorhombic
# DOS at the Fermi energy (states/eV/f.u.): 13.23
data_La5Pr2Nd2
_space_group_name_H-M_alt 'P 1'
_space_group_IT_number 1
_cell_length_a 10.335
_cell_length_b 10.335
_cell_length_c 10.335
_cell_angle_alpha 85.06
_cell_angle_beta 108.58
_cell_angle_gamma 140.12
loop_
_space_group_symop_operation_xyz
'x,y,z'
loop_
_atom_site_label
_atom_site_type_symbol
_atom_site_fract_x
_atom_site_fract_y
_atom_site_fract_z
La1 La 0.065 0.481 0.872
La2 La 0.065 0.693 0.084
La3 La 0.069 0.069 0.500
La4 La 0.234 0.052 0.286
La5 La 0.234 0.448 0.682
La6 La 0.568 0.569 0.500
La7 La 0.609 0.193 0.128
La8 La 0.609 0.981 0.916
La9 La 0.766 0.552 0.318
La10 La 0.766 0.948 0.714
Pr1 Pr 0.617 0.871 0.246
Pr2 Pr 0.626 0.371 0.754
Pr3 Pr 0.650 0.150 0.500
Pr4 Pr 0.650 0.650 0.000
Nd1 Nd 0.160 0.294 0.123
Nd2 Nd 0.160 0.537 0.365
Nd3 Nd 0.171 0.037 0.877
Nd4 Nd 0.171 0.794 0.635

---

Winner for stability: entry w

---

Entry w
# LaPr5Nd (PBE, relaxed)
# Crystal system: monoclinic
# DOS at the Fermi energy (states/eV/f.u.): 10.38
data_LaPr5Nd
_space_group_name_H-M_alt 'P 1'
_space_group_IT_number 1
_cell_length_a 12.341
_cell_length_b 12.341
_cell_length_c 6.746
_cell_angle_alpha 95.46
_cell_angle_beta 95.46
_cell_angle_gamma 148.00
loop_
_space_group_symop_operation_xyz
'x,y,z'
loop_
_atom_site_label
_atom_site_type_symbol
_atom_site_fract_x
_atom_site_fract_y
_atom_site_fract_z
La1 La 0.171 0.829 0.750
La2 La 0.829 0.171 0.250
Pr1 Pr 0.137 0.863 0.250
Pr2 Pr 0.181 0.273 0.156
Pr3 Pr 0.252 0.662 0.996
Pr4 Pr 0.273 0.181 0.656
Pr5 Pr 0.338 0.748 0.504
Pr6 Pr 0.662 0.252 0.496
Pr7 Pr 0.727 0.819 0.344
Pr8 Pr 0.748 0.338 0.004
Pr9 Pr 0.819 0.727 0.844
Pr10 Pr 0.863 0.137 0.750
Nd1 Nd 0.419 0.581 0.750
Nd2 Nd 0.581 0.419 0.250

---

Entry x
# LaPr5Nd (PBE, relaxed)
# Crystal system: orthorhombic
# DOS at the Fermi energy (states/eV/f.u.): 13.29
data_LaPr5Nd
_space_group_name_H-M_alt 'P 1'
_space_group_IT_number 1
_cell_length_a 8.121
_cell_length_b 8.121
_cell_length_c 8.121
_cell_angle_alpha 137.15
_cell_angle_beta 112.92
_cell_angle_gamma 82.96
loop_
_space_group_symop_operation_xyz
'x,y,z'
loop_
_atom_site_label
_atom_site_type_symbol
_atom_site_fract_x
_atom_site_fract_y
_atom_site_fract_z
La1 La 0.000 0.000 0.000
Pr1 Pr 0.180 0.500 0.680
Pr2 Pr 0.248 0.248 0.000
Pr3 Pr 0.500 0.000 0.500
Pr4 Pr 0.752 0.752 0.000
Pr5 Pr 0.820 0.500 0.320
Nd1 Nd 0.500 0.500 0.000

---

Winner for stability: entry w

---

Entry w
# La2Pr8Nd3 (PBE, relaxed)
# Crystal system: monoclinic
# DOS at the Fermi energy (states/eV/f.u.): 20.92
data_La2Pr8Nd3
_space_group_name_H-M_alt 'P 1'
_space_group_IT_number 1
_cell_length_a 11.298
_cell_length_b 11.298
_cell_length_c 5.864
_cell_angle_alpha 90.03
_cell_angle_beta 90.03
_cell_angle_gamma 40.36
loop_
_space_group_symop_operation_xyz
'x,y,z'
loop_
_atom_site_label
_atom_site_type_symbol
_atom_site_fract_x
_atom_site_fract_y
_atom_site_fract_z
La1 La 0.243 0.243 0.498
La2 La 0.757 0.757 0.502
Pr1 Pr 0.132 0.132 0.999
Pr2 Pr 0.189 0.603 0.500
Pr3 Pr 0.331 0.331 0.999
Pr4 Pr 0.397 0.811 0.500
Pr5 Pr 0.603 0.189 0.500
Pr6 Pr 0.669 0.669 0.001
Pr7 Pr 0.811 0.397 0.500
Pr8 Pr 0.868 0.868 0.001
Nd1 Nd 0.000 0.000 0.500
Nd2 Nd 0.286 0.714 0.000
Nd3 Nd 0.714 0.286 0.000

---

Entry x
# La2Pr8Nd3 (PBE, relaxed)
# Crystal system: monoclinic
# DOS at the Fermi energy (states/eV/f.u.): 22.17
data_La2Pr8Nd3
_space_group_name_H-M_alt 'P 1'
_space_group_IT_number 1
_cell_length_a 9.060
_cell_length_b 9.060
_cell_length_c 6.321
_cell_angle_alpha 107.13
_cell_angle_beta 107.13
_cell_angle_gamma 83.73
loop_
_space_group_symop_operation_xyz
'x,y,z'
loop_
_atom_site_label
_atom_site_type_symbol
_atom_site_fract_x
_atom_site_fract_y
_atom_site_fract_z
La1 La 0.210 0.210 0.351
La2 La 0.790 0.790 0.649
Pr1 Pr 0.058 0.058 0.784
Pr2 Pr 0.073 0.584 0.325
Pr3 Pr 0.347 0.347 0.951
Pr4 Pr 0.416 0.927 0.675
Pr5 Pr 0.584 0.073 0.325
Pr6 Pr 0.653 0.653 0.049
Pr7 Pr 0.927 0.416 0.675
Pr8 Pr 0.942 0.942 0.216
Nd1 Nd 0.258 0.742 0.000
Nd2 Nd 0.500 0.500 0.500
Nd3 Nd 0.742 0.258 0.000

---

Winner for stability: entry x